Record 1
The following is a DFT calculation (meta-GGA SCAN) of a PBEsol-optimized structure of La2MgCd.

Values from the calculation:
The total magnetization comes out at 0.00 μB per atom. The value obtained for the formation enthalpy at 0 K is -125 meV per atom.

Lattice parameters (Å, degrees): 3.4075 4.6296 6.8656 90.00 90.00 90.00
Element x y z (fractional)
Mg  0.0000  0.0000  0.5181
Cd  0.5000  0.5000  0.7361
La  0.0000  0.0000  0.0053
La  0.5000  0.5000  0.2404



Record 2
The following is a DFT calculation (meta-GGA SCAN) of a PBEsol-optimized structure of SbIr.

Values from the calculation:
The total magnetization comes out at 0.00 μB per atom. As for the uncorrected formation energy: 0.040 eV per atom.

Lattice parameters (Å, degrees): 5.2992 5.2992 5.2992 90.00 90.00 90.00
Element x y z (fractional)
Ir  0.4495  0.4495  0.4495
Ir  0.0505  0.5505  0.9495
Ir  0.5505  0.9495  0.0505
Ir  0.9495  0.0505  0.5505
Sb  0.5558  0.4442  0.9442
Sb  0.4442  0.9442  0.5558
Sb  0.9442  0.5558  0.4442
Sb  0.0558  0.0558  0.0558



Record 3
The following is a DFT calculation (meta-GGA SCAN) of a PBEsol-optimized structure of In2NiPt.

Values from the calculation:
The total magnetization comes out at 0.00 μB per atom. The value obtained for the formation enthalpy at 0 K is -86 meV per atom.

Lattice parameters (Å, degrees): 3.0642 4.5303 5.2666 101.51 90.00 109.77
Element x y z (fractional)
In  0.7449  0.4899  0.7399
In  0.2551  0.5101  0.2601
Ni  0.0000  0.0000  0.5000
Pt  0.5000  0.0000  0.0000



Record 4
The following is a DFT calculation (meta-GGA SCAN) of a PBEsol-optimized structure of TaZn2In.

Values from the calculation:
The total magnetization comes out at 0.39 μB per atom. The value obtained for the formation enthalpy at 0 K is 529 meV per atom.

Lattice parameters (Å, degrees): 4.5983 4.5983 4.5983 60.00 60.00 60.00
Site moments in Bohr magnetons follow the coordinates.
Element x y z (fractional)
Zn  0.7500  0.7500  0.7500  0.00
Zn  0.0000  0.0000  0.0000  0.02
In  0.5000  0.5000  0.5000  0.02
Ta  0.2500  0.2500  0.2500  1.08